(1)
First-principles (PBE) data for a relaxed structure of Ho4Ga5Au2, as listed in Alexandria.

Computed properties:
Magnetization ... 0.00 μB/cell
Total energy ... -46.7 eV per formula unit
Space group ... No. 10

Unit cell a=7.661 b=3.542 c=9.025 alpha=90.00 beta=92.59 gamma=90.00
Fractional positions:
Ho: 0.233 0.000 0.136
Ho: 0.245 0.000 0.626
Ho: 0.755 0.000 0.374
Ho: 0.767 0.000 0.864
Ga: 0.111 0.500 0.884
Ga: 0.433 0.500 0.364
Ga: 0.500 0.500 0.000
Ga: 0.567 0.500 0.636
Ga: 0.889 0.500 0.116
Au: 0.086 0.500 0.368
Au: 0.914 0.500 0.632

***

(2)
First-principles (PBE) data for a relaxed structure of KVI2Cl, as listed in Alexandria.

Computed properties:
Formation energy from raw total energies ... -0.935 eV per atom
Magnetization ... 3.00 μB/cell
Space group ... No. 123

Unit cell a=5.789 b=5.789 c=4.906 alpha=90.00 beta=90.00 gamma=90.00
Fractional positions:
K: 0.000 0.000 0.000
V: 0.500 0.500 0.500
I: 0.000 0.500 0.500
I: 0.500 0.000 0.500
Cl: 0.500 0.500 0.000

***

(3)
First-principles (PBE) data for a relaxed structure of Sr4Li3Ag2, as listed in Alexandria.

Computed properties:
Magnetization ... 0.00 μB/cell
Total energy ... -19.3 eV per formula unit
Space group ... No. 12

Unit cell a=9.414 b=9.414 c=7.401 alpha=107.19 beta=107.19 gamma=28.36
Fractional positions:
Sr: 0.069 0.069 0.349
Sr: 0.269 0.269 0.789
Sr: 0.731 0.731 0.211
Sr: 0.931 0.931 0.651
Li: 0.401 0.401 0.266
Li: 0.500 0.500 0.000
Li: 0.599 0.599 0.734
Ag: 0.108 0.108 0.938
Ag: 0.892 0.892 0.062

***

(4)
First-principles (PBE) data for a relaxed structure of PuThSc2, as listed in Alexandria.

Computed properties:
Energy above the lowest structure with this stoichiometry ... 0.142 eV per atom
Magnetization ... 5.49 μB/cell
Space group ... No. 166

Unit cell a=11.845 b=11.845 c=11.845 alpha=15.83 beta=15.83 gamma=15.83
Fractional positions:
Pu: 0.000 0.000 0.000
Th: 0.500 0.500 0.500
Sc: 0.408 0.408 0.408
Sc: 0.592 0.592 0.592

***

(5)
First-principles (PBE) data for a relaxed structure of AcHgTe, as listed in Alexandria.

Computed properties:
Formation energy from raw total energies ... -0.743 eV per atom
Energy above the lowest structure with this stoichiometry ... 0.222 eV per atom
Magnetization ... 0.00 μB/cell
Space group ... No. 216

Unit cell a=5.486 b=5.486 c=5.486 alpha=60.00 beta=60.00 gamma=60.00
Fractional positions:
Ac: 0.000 0.000 0.000
Hg: 0.250 0.250 0.250
Te: 0.750 0.750 0.750

***

(6)
First-principles (PBE) data for a relaxed structure of Y2TaSi, as listed in Alexandria.

Computed properties:
Formation energy from raw total energies ... 0.011 eV per atom
Magnetization ... 0.00 μB/cell
Space group ... No. 123

Unit cell a=3.178 b=3.178 c=8.915 alpha=90.00 beta=90.00 gamma=90.00
Fractional positions:
Y: 0.000 0.000 0.232
Y: 0.000 0.000 0.768
Ta: 0.500 0.500 0.500
Si: 0.500 0.500 0.000

***

(7)
First-principles (PBE) data for a relaxed structure of LaZn12Pt4, as listed in Alexandria.

Computed properties:
Magnetization ... 0.00 μB/cell
Total energy ... -46.8 eV per formula unit
Space group ... No. 204

Unit cell a=7.592 b=7.592 c=7.592 alpha=109.47 beta=109.47 gamma=109.47
Fractional positions:
La: 0.000 0.000 0.000
Zn: 0.155 0.508 0.353
Zn: 0.155 0.802 0.647
Zn: 0.198 0.353 0.845
Zn: 0.353 0.155 0.508
Zn: 0.353 0.845 0.198
Zn: 0.492 0.647 0.845
Zn: 0.508 0.353 0.155
Zn: 0.647 0.155 0.802
Zn: 0.647 0.845 0.492
Zn: 0.802 0.647 0.155
Zn: 0.845 0.198 0.353
Zn: 0.845 0.492 0.647
Pt: 0.000 0.000 0.500
Pt: 0.000 0.500 0.000
Pt: 0.500 0.000 0.000
Pt: 0.500 0.500 0.500

***

(8)
First-principles (PBE) data for a relaxed structure of YHo3Er8, as listed in Alexandria.

Computed properties:
Magnetization ... 0.00 μB/cell
Total energy ... -47.9 eV per formula unit
Space group ... No. 139

Unit cell a=9.338 b=9.338 c=9.338 alpha=131.85 beta=131.85 gamma=70.47
Fractional positions:
Y: 0.000 0.000 0.000
Ho: 0.250 0.750 0.500
Ho: 0.500 0.500 0.000
Ho: 0.750 0.250 0.500
Er: 0.125 0.125 0.502
Er: 0.125 0.623 0.000
Er: 0.377 0.377 0.502
Er: 0.377 0.875 0.000
Er: 0.623 0.125 0.000
Er: 0.623 0.623 0.498
Er: 0.875 0.377 0.000
Er: 0.875 0.875 0.498

***

(9)
First-principles (PBE) data for a relaxed structure of Tb2TmSi2Pt7, as listed in Alexandria.

Computed properties:
Formation energy from raw total energies ... -1.148 eV per atom
Magnetization ... 0.00 μB/cell
Space group ... No. 12

Unit cell a=4.031 b=4.031 c=13.775 alpha=96.13 beta=96.13 gamma=89.55
Fractional positions:
Tb: 0.116 0.116 0.356
Tb: 0.884 0.884 0.644
Tm: 0.000 0.000 0.000
Si: 0.406 0.406 0.744
Si: 0.594 0.594 0.256
Pt: 0.059 0.558 0.159
Pt: 0.368 0.368 0.573
Pt: 0.442 0.941 0.841
Pt: 0.500 0.500 0.000
Pt: 0.558 0.059 0.159
Pt: 0.632 0.632 0.427
Pt: 0.941 0.442 0.841

***

(10)
First-principles (PBE) data for a relaxed structure of Ba2PaPd12Pt3, as listed in Alexandria.

Computed properties:
Magnetization ... 0.00 μB/cell
Total energy ... -91.3 eV per formula unit
Space group ... No. 166

Unit cell a=8.385 b=8.385 c=8.385 alpha=60.95 beta=60.95 gamma=60.95
Fractional positions:
Ba: 0.116 0.116 0.116
Ba: 0.884 0.884 0.884
Pa: 0.500 0.500 0.500
Pd: 0.129 0.626 0.626
Pd: 0.133 0.133 0.633
Pd: 0.133 0.633 0.133
Pd: 0.367 0.867 0.867
Pd: 0.374 0.374 0.871
Pd: 0.374 0.871 0.374
Pd: 0.626 0.129 0.626
Pd: 0.626 0.626 0.129
Pd: 0.633 0.133 0.133
Pd: 0.867 0.367 0.867
Pd: 0.867 0.867 0.367
Pd: 0.871 0.374 0.374
Pt: 0.000 0.500 0.500
Pt: 0.500 0.000 0.500
Pt: 0.500 0.500 0.000

***

(11)
First-principles (PBE) data for a relaxed structure of LiTbDy2, as listed in Alexandria.

Computed properties:
Energy above the lowest structure with this stoichiometry ... 0.114 eV per atom
Magnetization ... 0.00 μB/cell
Space group ... No. 225

Unit cell a=5.477 b=5.477 c=5.477 alpha=60.00 beta=60.00 gamma=60.00
Fractional positions:
Li: 0.000 0.000 0.000
Tb: 0.500 0.500 0.500
Dy: 0.250 0.250 0.250
Dy: 0.750 0.750 0.750

***

(12)
First-principles (PBE) data for a relaxed structure of LiTbBi2, as listed in Alexandria.

Computed properties:
Energy above the lowest structure with this stoichiometry ... 0.122 eV per atom
Magnetization ... 0.00 μB/cell
Space group ... No. 123

Unit cell a=4.041 b=4.041 c=6.797 alpha=90.00 beta=90.00 gamma=90.00
Fractional positions:
Li: 0.000 0.000 0.000
Tb: 0.000 0.000 0.500
Bi: 0.500 0.500 0.246
Bi: 0.500 0.500 0.754

***

(13)
First-principles (PBE) data for a relaxed structure of Pm2Dy2In3, as listed in Alexandria.

Computed properties:
Energy above the lowest structure with this stoichiometry ... 0.000 eV per atom
Magnetization ... 0.00 μB/cell
Space group ... No. 65

Unit cell a=12.558 b=12.558 c=3.505 alpha=90.00 beta=90.00 gamma=158.89
Fractional positions:
Pm: 0.071 0.929 0.000
Pm: 0.929 0.071 0.000
Dy: 0.202 0.798 0.000
Dy: 0.798 0.202 0.000
In: 0.354 0.646 0.500
In: 0.500 0.500 0.500
In: 0.646 0.354 0.500

***

(14)
First-principles (PBE) data for a relaxed structure of TcSnRu, as listed in Alexandria.

Computed properties:
Magnetization ... 0.00 μB/cell
Total energy ... -22.9 eV per formula unit
Space group ... No. 187

Unit cell a=3.010 b=3.010 c=12.630 alpha=90.00 beta=90.00 gamma=120.00
Fractional positions:
Tc: 0.000 0.000 0.000
Tc: 0.333 0.667 0.500
Sn: 0.000 0.000 0.330
Sn: 0.000 0.000 0.670
Ru: 0.333 0.667 0.160
Ru: 0.333 0.667 0.840

***

(15)
First-principles (PBE) data for a relaxed structure of TlIn5, as listed in Alexandria.

Computed properties:
Energy above the lowest structure with this stoichiometry ... 0.085 eV per atom
Magnetization ... 0.00 μB/cell
Space group ... No. 191

Unit cell a=6.107 b=6.107 c=5.649 alpha=90.00 beta=90.00 gamma=120.00
Fractional positions:
Tl: 0.000 0.000 0.000
In: 0.000 0.500 0.500
In: 0.333 0.667 0.000
In: 0.500 0.000 0.500
In: 0.500 0.500 0.500
In: 0.667 0.333 0.000

***

(16)
First-principles (PBE) data for a relaxed structure of TbNd6Sm2, as listed in Alexandria.

Computed properties:
Energy above the lowest structure with this stoichiometry ... 0.000 eV per atom
Magnetization ... 0.00 μB/cell
Space group ... No. 15

Unit cell a=10.239 b=10.239 c=6.280 alpha=95.01 beta=95.01 gamma=70.96
Fractional positions:
Tb: 0.099 0.901 0.750
Tb: 0.901 0.099 0.250
Nd: 0.022 0.742 0.180
Nd: 0.074 0.352 0.348
Nd: 0.258 0.978 0.320
Nd: 0.312 0.592 0.486
Nd: 0.352 0.074 0.848
Nd: 0.408 0.688 0.014
Nd: 0.592 0.312 0.986
Nd: 0.648 0.926 0.152
Nd: 0.688 0.408 0.514
Nd: 0.742 0.022 0.680
Nd: 0.926 0.648 0.652
Nd: 0.978 0.258 0.820
Sm: 0.233 0.433 0.918
Sm: 0.433 0.233 0.418
Sm: 0.567 0.767 0.582
Sm: 0.767 0.567 0.082

***

(17)
First-principles (PBE) data for a relaxed structure of KAc2RhO4, as listed in Alexandria.

Computed properties:
Formation energy from raw total energies ... -2.158 eV per atom
Magnetization ... 0.00 μB/cell
Space group ... No. 63

Unit cell a=6.688 b=6.688 c=12.652 alpha=90.00 beta=90.00 gamma=144.64
Fractional positions:
K: 0.090 0.910 0.750
K: 0.910 0.090 0.250
Ac: 0.366 0.634 0.562
Ac: 0.366 0.634 0.938
Ac: 0.634 0.366 0.062
Ac: 0.634 0.366 0.438
Rh: 0.222 0.778 0.250
Rh: 0.778 0.222 0.750
O: 0.000 0.000 0.000
O: 0.000 0.000 0.500
O: 0.244 0.756 0.085
O: 0.244 0.756 0.415
O: 0.312 0.688 0.750
O: 0.688 0.312 0.250
O: 0.756 0.244 0.585
O: 0.756 0.244 0.915

***

(18)
First-principles (PBE) data for a relaxed structure of Sb2IrIO, as listed in Alexandria.

Computed properties:
Formation energy from raw total energies ... 0.619 eV per atom
Energy above the lowest structure with this stoichiometry ... 0.000 eV per atom
Magnetization ... 0.00 μB/cell
Space group ... No. 123

Unit cell a=4.480 b=4.480 c=5.339 alpha=90.00 beta=90.00 gamma=90.00
Fractional positions:
Sb: 0.000 0.500 0.000
Sb: 0.500 0.000 0.000
Ir: 0.000 0.000 0.500
I: 0.500 0.500 0.500
O: 0.500 0.500 0.000

***

(19)
First-principles (PBE) data for a relaxed structure of Zr2SbPb, as listed in Alexandria.

Computed properties:
Formation energy from raw total energies ... -0.314 eV per atom
Energy above the lowest structure with this stoichiometry ... 0.030 eV per atom
Magnetization ... 0.00 μB/cell
Space group ... No. 12

Unit cell a=5.395 b=5.395 c=5.366 alpha=119.68 beta=119.68 gamma=46.20
Fractional positions:
Zr: 0.241 0.241 0.241
Zr: 0.759 0.759 0.759
Sb: 0.500 0.500 0.000
Pb: 0.000 0.000 0.500

***

(20)
First-principles (PBE) data for a relaxed structure of Ba3Sr4, as listed in Alexandria.

Computed properties:
Energy above the lowest structure with this stoichiometry ... 0.004 eV per atom
Magnetization ... 0.00 μB/cell
Space group ... No. 139

Unit cell a=21.458 b=21.458 c=21.458 alpha=168.24 beta=168.24 gamma=16.66
Fractional positions:
Ba: 0.000 0.000 0.000
Ba: 0.288 0.288 0.000
Ba: 0.712 0.712 0.000
Sr: 0.139 0.139 0.000
Sr: 0.428 0.428 0.000
Sr: 0.572 0.572 0.000
Sr: 0.861 0.861 0.000

***

(21)
First-principles (PBE) data for a relaxed structure of TmNiHRh2, as listed in Alexandria.

Computed properties:
Magnetization ... 0.04 μB/cell
Total energy ... -30.8 eV per formula unit
Space group ... No. 123

Unit cell a=4.057 b=4.057 c=3.888 alpha=90.00 beta=90.00 gamma=90.00
Fractional positions:
Tm: 0.000 0.000 0.000
Ni: 0.500 0.500 0.000
H: 0.500 0.500 0.500
Rh: 0.000 0.500 0.500
Rh: 0.500 0.000 0.500

***

(22)
First-principles (PBE) data for a relaxed structure of NbRePS2, as listed in Alexandria.

Computed properties:
Formation energy from raw total energies ... 0.755 eV per atom
Energy above the lowest structure with this stoichiometry ... 0.000 eV per atom
Magnetization ... 3.13 μB/cell
Space group ... No. 123

Unit cell a=4.590 b=4.590 c=4.676 alpha=90.00 beta=90.00 gamma=90.00
Fractional positions:
Nb: 0.000 0.000 0.000
Re: 0.500 0.500 0.500
P: 0.500 0.500 0.000
S: 0.000 0.500 0.500
S: 0.500 0.000 0.500

***

(23)
First-principles (PBE) data for a relaxed structure of NaAc2YSe4, as listed in Alexandria.

Computed properties:
Formation energy from raw total energies ... -1.756 eV per atom
Magnetization ... 0.00 μB/cell
Space group ... No. 10

Unit cell a=7.407 b=4.326 c=7.548 alpha=90.00 beta=109.48 gamma=90.00
Fractional positions:
Na: 0.000 0.000 0.000
Ac: 0.500 0.000 0.500
Ac: 0.500 0.500 0.000
Y: 0.000 0.500 0.500
Se: 0.226 0.000 0.739
Se: 0.232 0.500 0.250
Se: 0.768 0.500 0.750
Se: 0.774 0.000 0.261

***

(24)
First-principles (PBE) data for a relaxed structure of TaZn2Ir, as listed in Alexandria.

Computed properties:
Magnetization ... 0.00 μB/cell
Total energy ... -23.6 eV per formula unit
Space group ... No. 71

Unit cell a=5.440 b=5.440 c=5.440 alpha=149.89 beta=128.04 gamma=61.23
Fractional positions:
Ta: 0.000 0.000 0.000
Zn: 0.263 0.763 0.500
Zn: 0.737 0.237 0.500
Ir: 0.500 0.500 0.000

***

| no. | DOS(E_F) (states/eV/cell) |
| --- | --- |
| 1 | 5.6 |
| 2 | 2.8 |
| 3 | 6.0 |
| 4 | 10.5 |
| 5 | 3.4 |
| 6 | 4.5 |
| 7 | 7.1 |
| 8 | 11.7 |
| 9 | 5.0 |
| 10 | 13.1 |
| 11 | 3.2 |
| 12 | 1.8 |
| 13 | 7.1 |
| 14 | 3.8 |
| 15 | 3.1 |
| 16 | 24.8 |
| 17 | 2.0 |
| 18 | 2.3 |
| 19 | 2.3 |
| 20 | 9.2 |
| 21 | 5.7 |
| 22 | 4.3 |
| 23 | 3.0 |
| 24 | 3.0 |